! HoCd4Rh | the Alexandria database | PBE | relaxed; values from VASP
&SYSTEM
  ibrav = 0, nat = 6, ntyp = 3
/
ATOMIC_SPECIES
Cd 112.41 Cd.upf
Rh 102.91 Rh.upf
Ho 164.93 Ho.upf
ATOMIC_POSITIONS crystal
Cd 0.6257 0.1228 0.6257
Cd 0.6257 0.6257 0.6257
Cd 0.6257 0.6257 0.1228
Cd 0.1228 0.6257 0.6257
Rh 0.0000 0.0000 0.0000
Ho 0.2500 0.2500 0.2500
CELL_PARAMETERS angstrom
5.6022 0.0000 0.0000
2.8011 4.8516 0.0000
2.8011 1.6172 4.5742
! Space group: F-43m
! Final energy, eV per atom: -2.75
! E_form, eV/atom: -0.15
! D(E_F), states/eV per atom: 0.093